[1]
Material: LaY8Sc2
Method: DFT, GGA-PBE
State: optimized geometry

The total energy is -135.743 eV per cell. Its relative energy among the computed polymorphs is 0.000 eV per formula unit. The formation energy is 0.1302 eV per atom.

The structure belongs to space group Immm (No. 71); the cell edges are 5.3873, 8.2242 and 15.8289 Å and the angles 90.00°, 90.00° and 90.00°. The inequivalent atoms are La at (0.0000, 0.0000, 0.0000), Y at (0.0000, 0.1994, 0.5000), Y at (0.0000, 0.2943, 0.1452), Y at (0.0000, 0.5000, 0.3351) and Sc at (0.0000, 0.0000, 0.3007).

[2]
Material: La6Y8Sc
Method: DFT, GGA-PBE
State: optimized geometry

The total energy is -258.033 eV per cell. The formation energy is 0.1065 eV per atom.

The structure belongs to space group R-3 (No. 148, hexagonal axes); the cell edges are 9.1321, 9.1321 and 21.2147 Å and the angles 90.00°, 90.00° and 120.00°. The inequivalent atoms are La at (0.0547, 0.2515, 0.2123), Y at (0.0000, 0.0000, 0.0777), Y at (0.0817, 0.5723, 0.3045) and Sc at (0.0000, 0.0000, 0.5000).

[3]
Material: La2Y2Sc
Method: DFT, GGA-PBE
State: optimized geometry

The total energy is -56.103 eV per cell. Its relative energy among the computed polymorphs is 0.000 eV per formula unit. The formation energy is 0.2126 eV per atom.

The structure belongs to space group P4/mbm (No. 127); the cell edges are 9.4838, 9.4838 and 3.6906 Å and the angles 90.00°, 90.00° and 90.00°. The inequivalent atoms are La at (0.1753, 0.3247, 0.0000), Y at (0.1265, 0.6265, 0.5000) and Sc at (0.0000, 0.0000, 0.5000).

[4]
Material: La5Y6Sc
Method: DFT, GGA-PBE
State: optimized geometry

The total energy is -138.523 eV per cell. The formation energy is 0.0410 eV per atom.

The structure belongs to space group C2/m (No. 12); the cell edges are 17.7628, 7.2985 and 6.2108 Å and the angles 90.00°, 91.29° and 90.00°. The inequivalent atoms are La at (0.0000, 0.0000, 0.0000), La at (0.1637, 0.5000, 0.6751), La at (0.1677, 0.0000, 0.6642), Y at (0.0000, 0.2539, 0.5000), Y at (0.1640, 0.2523, 0.1682) and Sc at (0.0000, 0.5000, 0.0000).

[5]
Material: La9Y2Sc
Method: DFT, GGA-PBE
State: optimized geometry

The total energy is -63.411 eV per cell. The formation energy is 0.0163 eV per atom.

The structure belongs to space group P4/mmm (No. 123); the cell edges are 5.1771, 5.1771 and 15.5409 Å and the angles 90.00°, 90.00° and 90.00°. The inequivalent atoms are La at (0.0000, 0.0000, 0.0000), La at (0.0000, 0.0000, 0.3317), La at (0.0000, 0.5000, 0.1624), La at (0.0000, 0.5000, 0.5000), Y at (0.5000, 0.5000, 0.3310) and Sc at (0.5000, 0.5000, 0.0000).

[6]
Material: LaYSc3
Method: DFT, GGA-PBE
State: optimized geometry

The total energy is -27.165 eV per cell. Its relative energy among the computed polymorphs is 2.846 eV per formula unit. The formation energy is 0.6442 eV per atom.

The structure belongs to space group Pm-3m (No. 221); the cell edges are 5.2857, 5.2857 and 5.2857 Å and the angles 90.00°, 90.00° and 90.00°. The inequivalent atoms are La at (0.0000, 0.0000, 0.0000), Y at (0.5000, 0.5000, 0.5000) and Sc at (0.0000, 0.0000, 0.5000).

[7]
Material: La7Y2Sc2
Method: DFT, GGA-PBE
State: optimized geometry

The total energy is -117.352 eV per cell. The formation energy is 0.1279 eV per atom.

The structure belongs to space group C2/m (No. 12); the cell edges are 8.4552, 11.0079 and 8.3533 Å and the angles 90.00°, 101.93° and 90.00°. The inequivalent atoms are La at (0.0000, 0.0000, 0.0000), La at (0.2023, 0.0000, 0.4834), La at (0.2086, 0.2789, 0.1828), Y at (0.0707, 0.5000, 0.8172) and Sc at (0.0000, 0.2901, 0.5000).

[8]
Material: La2Y3Sc
Method: DFT, GGA-PBE
State: optimized geometry

The total energy is -140.494 eV per cell. Its relative energy among the computed polymorphs is 0.000 eV per formula unit. The formation energy is 0.0759 eV per atom.

The structure belongs to space group C2/c (No. 15); the cell edges are 8.9684, 9.8717 and 8.9981 Å and the angles 90.00°, 101.16° and 90.00°. The inequivalent atoms are La at (0.1258, 0.2492, 0.1249), Y at (0.0000, 0.0904, 0.7500), Y at (0.2421, 0.4198, 0.5002) and Sc at (0.0000, 0.4174, 0.7500).

[9]
Material: LaYZrSc
Method: DFT, GGA-PBE
State: optimized geometry

The total energy is -102.080 eV per cell. The formation energy is 0.1878 eV per atom.

The structure belongs to space group F-43m (No. 216); the cell edges are 7.6886, 7.6886 and 7.6886 Å and the angles 90.00°, 90.00° and 90.00°. The inequivalent atoms are La at (0.0000, 0.0000, 0.0000), Y at (0.2500, 0.2500, 0.7500), Zr at (0.0000, 0.0000, 0.5000) and Sc at (0.2500, 0.2500, 0.2500).

[10]
Material: LaScZn2
Method: DFT, GGA-PBE
State: optimized geometry

The total energy is -29.527 eV per cell. Its relative energy among the computed polymorphs is 0.309 eV per formula unit. The formation energy is -0.2392 eV per atom.

The structure belongs to space group C2/m (No. 12); the cell edges are 7.1898, 7.1985 and 3.5267 Å and the angles 90.00°, 90.14° and 90.00°. The inequivalent atoms are La at (0.0000, 0.0000, 0.0000), Sc at (0.0000, 0.5000, 0.0000) and Zn at (0.2500, 0.2500, 0.5000).

[11]
Material: LaSc2Zn
Method: DFT, GGA-PBE
State: optimized geometry

The total energy is -37.033 eV per cell. The formation energy is 0.0870 eV per atom.

The structure belongs to space group C2/m (No. 12); the cell edges are 6.3812, 10.9434 and 3.3154 Å and the angles 90.00°, 119.05° and 90.00°. The inequivalent atoms are La at (0.0000, 0.0000, 0.0000), Sc at (0.2500, 0.2500, 0.5000) and Zn at (0.0000, 0.5000, 0.0000).

[12]
Material: LaSc2Zn
Method: DFT, GGA-PBE
State: optimized geometry

The total energy is -37.314 eV per cell. The formation energy is 0.0519 eV per atom.

The structure belongs to space group I4/mmm (No. 139); the cell edges are 4.5506, 4.5506 and 9.5541 Å and the angles 90.00°, 90.00° and 90.00°. The inequivalent atoms are La at (0.0000, 0.0000, 0.0000), Sc at (0.0000, 0.5000, 0.2500) and Zn at (0.0000, 0.0000, 0.5000).

[13]
Material: LaSc2Zn
Method: DFT, GGA-PBE
State: optimized geometry

The total energy is -75.366 eV per cell. The formation energy is 0.0057 eV per atom.

The structure belongs to space group F-43m (No. 216); the cell edges are 7.3459, 7.3459 and 7.3459 Å and the angles 90.00°, 90.00° and 90.00°. The inequivalent atoms are La at (0.0000, 0.0000, 0.0000), Sc at (0.0000, 0.0000, 0.5000), Sc at (0.2500, 0.2500, 0.2500) and Zn at (0.2500, 0.2500, 0.7500).

[14]
Material: LaSc2Zn
Method: DFT, GGA-PBE
State: optimized geometry

The total energy is -37.849 eV per cell. The formation energy is -0.0150 eV per atom.

The structure belongs to space group I-4m2 (No. 119); the cell edges are 4.6536, 4.6536 and 9.0048 Å and the angles 90.00°, 90.00° and 90.00°. The inequivalent atoms are La at (0.0000, 0.0000, 0.0000), Sc at (0.0000, 0.0000, 0.5000), Sc at (0.0000, 0.5000, 0.7500) and Zn at (0.0000, 0.5000, 0.2500).

[15]
Material: LaScZn10
Method: DFT, GGA-PBE
State: optimized geometry

The total energy is -26.946 eV per cell. The formation energy is -0.2456 eV per atom.

The structure belongs to space group Pmmm (No. 47); the cell edges are 4.2555, 5.3056 and 9.2141 Å and the angles 90.00°, 90.00° and 90.00°. The inequivalent atoms are La at (0.0000, 0.0000, 0.0000), Sc at (0.0000, 0.5000, 0.5000), Zn at (0.0000, 0.0000, 0.3459), Zn at (0.0000, 0.5000, 0.1838), Zn at (0.5000, 0.0000, 0.5000), Zn at (0.5000, 0.2518, 0.2555) and Zn at (0.5000, 0.5000, 0.0000).

[16]
Material: LaSc2Zn
Method: DFT, GGA-PBE
State: optimized geometry

The total energy is -18.947 eV per cell. The formation energy is -0.0206 eV per atom.

The structure belongs to space group P2/m (No. 10); the cell edges are 3.4584, 4.8056 and 6.2935 Å and the angles 90.00°, 105.83° and 90.00°. The inequivalent atoms are La at (0.0000, 0.0000, 0.0000), Sc at (0.3366, 0.5000, 0.7181) and Zn at (0.5000, 0.0000, 0.5000).

[17]
Material: LaSc4Zn5
Method: DFT, GGA-PBE
State: optimized geometry

The total energy is -40.071 eV per cell. The formation energy is -0.3448 eV per atom.

The structure belongs to space group P4/mmm (No. 123); the cell edges are 3.3979, 3.3979 and 17.4604 Å and the angles 90.00°, 90.00° and 90.00°. The inequivalent atoms are La at (0.0000, 0.0000, 0.0000), Sc at (0.0000, 0.0000, 0.2164), Sc at (0.0000, 0.0000, 0.4058), Zn at (0.5000, 0.5000, 0.1266), Zn at (0.5000, 0.5000, 0.3103) and Zn at (0.5000, 0.5000, 0.5000).

[18]
Material: LaScZn2
Method: DFT, GGA-PBE
State: optimized geometry

The total energy is -28.147 eV per cell. Its relative energy among the computed polymorphs is 0.998 eV per formula unit. The formation energy is -0.0667 eV per atom.

The structure belongs to space group I-4m2 (No. 119); the cell edges are 4.3348, 4.3348 and 9.7552 Å and the angles 90.00°, 90.00° and 90.00°. The inequivalent atoms are La at (0.0000, 0.0000, 0.0000), Sc at (0.0000, 0.5000, 0.7500), Zn at (0.0000, 0.0000, 0.5000) and Zn at (0.0000, 0.5000, 0.2500).

[19]
Material: LaSc2Zn
Method: DFT, GGA-PBE
State: optimized geometry

The total energy is -38.765 eV per cell. The formation energy is -0.1294 eV per atom.

The structure belongs to space group Immm (No. 71); the cell edges are 3.4920, 5.3672 and 10.7188 Å and the angles 90.00°, 90.00° and 90.00°. The inequivalent atoms are La at (0.0000, 0.0000, 0.0000), Sc at (0.0000, 0.5000, 0.2147) and Zn at (0.0000, 0.0000, 0.5000).

[20]
Material: LaSc2Zn
Method: DFT, GGA-PBE
State: optimized geometry

The total energy is -72.819 eV per cell. The formation energy is 0.1650 eV per atom.

The structure belongs to space group I-42d (No. 122); the cell edges are 4.3947, 4.3947 and 21.2614 Å and the angles 90.00°, 90.00° and 90.00°. The inequivalent atoms are La at (0.0000, 0.0000, 0.0000), Sc at (0.2307, 0.2500, 0.6250) and Zn at (0.0000, 0.0000, 0.5000).